Density functional theory data (PBE+U) for K2NiP4H8O16 after structural relaxation.

Computed properties:
The calculation puts the total moment at 0.07 μB per atom. As for the calculated total energy: -6.03 eV/atom.

a = 6.980 Å, b = 7.433 Å, c = 7.598 Å
α = 81.17°, β = 73.44°, γ = 84.35°
Fractional coordinates of all 31 atoms:
K (0.122, 0.240, 0.296)
K (0.878, 0.760, 0.704)
Ni (0.500, 0.000, 0.500)
P (0.254, 0.310, 0.759)
P (0.325, 0.770, 0.244)
P (0.675, 0.230, 0.756)
P (0.746, 0.690, 0.241)
H (0.052, 0.770, 0.076)
H (0.249, 0.547, 0.477)
H (0.370, 0.824, 0.853)
H (0.381, 0.687, 0.709)
H (0.619, 0.313, 0.291)
H (0.630, 0.176, 0.147)
H (0.751, 0.453, 0.523)
H (0.948, 0.230, 0.924)
O (0.077, 0.280, 0.940)
O (0.235, 0.581, 0.341)
O (0.239, 0.837, 0.082)
O (0.254, 0.509, 0.670)
O (0.264, 0.173, 0.627)
O (0.300, 0.899, 0.386)
O (0.439, 0.273, 0.852)
O (0.445, 0.794, 0.727)
O (0.555, 0.206, 0.273)
O (0.561, 0.727, 0.148)
O (0.700, 0.101, 0.614)
O (0.736, 0.827, 0.373)
O (0.746, 0.491, 0.330)
O (0.761, 0.163, 0.918)
O (0.765, 0.419, 0.659)
O (0.923, 0.720, 0.060)